[1]
Computed, not measured: a geometry-optimized K4SrTe structure at the GGA-PBE level of DFT.

DOS at the Fermi energy (states/eV/atom): 0.46
Crystal system: cubic
ΔE_f (raw) (meV per atom): -11

Geometry as CIF:
```
data_K4SrTe
_space_group_name_H-M_alt 'F -4 3 m'
_space_group_IT_number 216
_space_group_name_Hall 'F -4 2 3'
_cell_length_a 10.8217
_cell_length_b 10.8217
_cell_length_c 10.8217
_cell_angle_alpha 90.00
_cell_angle_beta 90.00
_cell_angle_gamma 90.00
loop_
_atom_site_label
_atom_site_fract_x
_atom_site_fract_y
_atom_site_fract_z
_atom_site_occupancy
K1 0.1236 0.1236 0.3764 1
Sr1 0.0000 0.0000 0.0000 1
Te1 0.2500 0.2500 0.7500 1
```

***

[2]
Computed, not measured: a geometry-optimized KSrTe structure at the GGA-PBE level of DFT.

DOS at the Fermi energy (states/eV/atom): 0.44
Crystal system: cubic
ΔE_f (raw) (meV per atom): -866
Polymorph energy (0 for the lowest one) (meV/atom): 80

Geometry as CIF:
```
data_KSrTe
_space_group_name_H-M_alt 'F -4 3 m'
_space_group_IT_number 216
_space_group_name_Hall 'F -4 2 3'
_cell_length_a 8.0144
_cell_length_b 8.0144
_cell_length_c 8.0144
_cell_angle_alpha 90.00
_cell_angle_beta 90.00
_cell_angle_gamma 90.00
loop_
_atom_site_label
_atom_site_fract_x
_atom_site_fract_y
_atom_site_fract_z
_atom_site_occupancy
K1 0.0000 0.0000 0.0000 1
Sr1 0.0000 0.0000 0.5000 1
Te1 0.2500 0.2500 0.7500 1
```

***

[3]
Computed, not measured: a geometry-optimized KSr2ThTe4 structure at the GGA-PBE level of DFT.

DOS at the Fermi energy (states/eV/atom): 0.34
Crystal system: monoclinic
ΔE_f (raw) (meV per atom): -1399

Geometry as CIF:
```
data_KSr2ThTe4
_space_group_name_H-M_alt 'P 1 2/m 1'
_space_group_IT_number 10
_cell_length_a 8.0778
_cell_length_b 4.6128
_cell_length_c 8.2895
_cell_angle_alpha 90.00
_cell_angle_beta 108.34
_cell_angle_gamma 90.00
loop_
_space_group_symop_operation_xyz
'x,y,z'
'-x,-y,-z'
'-x,y,-z'
'x,-y,z'
loop_
_atom_site_label
_atom_site_fract_x
_atom_site_fract_y
_atom_site_fract_z
_atom_site_occupancy
K1 0.0000 0.0000 0.0000 1
Sr1 0.5000 0.0000 0.5000 1
Sr2 0.5000 0.5000 0.0000 1
Th1 0.0000 0.5000 0.5000 1
Te1 0.2414 0.0000 0.7360 1
Te2 0.2465 0.5000 0.2694 1
```

***

[4]
Computed, not measured: a geometry-optimized KSrTi2Te structure at the GGA-PBE level of DFT.

DOS at the Fermi energy (states/eV/atom): 1.67
Crystal system: tetragonal
ΔE_f (raw) (meV per atom): 483

Geometry as CIF:
```
data_KSrTi2Te
_space_group_name_H-M_alt 'P 4/m m m'
_space_group_IT_number 123
_space_group_name_Hall '-P 4 2'
_cell_length_a 5.4099
_cell_length_b 5.4099
_cell_length_c 6.3566
_cell_angle_alpha 90.00
_cell_angle_beta 90.00
_cell_angle_gamma 90.00
loop_
_atom_site_label
_atom_site_fract_x
_atom_site_fract_y
_atom_site_fract_z
_atom_site_occupancy
K1 0.0000 0.0000 0.0000 1
Sr1 0.5000 0.5000 0.0000 1
Ti1 0.0000 0.5000 0.5000 1
Te1 0.5000 0.5000 0.5000 1
```

***

[5]
Computed, not measured: a geometry-optimized K2SrUTe4 structure at the GGA-PBE level of DFT.

DOS at the Fermi energy (states/eV/atom): 0.51
Crystal system: monoclinic
ΔE_f (raw) (meV per atom): -1131

Geometry as CIF:
```
data_K2SrUTe4
_space_group_name_H-M_alt 'P 1 2/m 1'
_space_group_IT_number 10
_cell_length_a 8.1298
_cell_length_b 4.6602
_cell_length_c 8.5998
_cell_angle_alpha 90.00
_cell_angle_beta 107.94
_cell_angle_gamma 90.00
loop_
_space_group_symop_operation_xyz
'x,y,z'
'-x,-y,-z'
'-x,y,-z'
'x,-y,z'
loop_
_atom_site_label
_atom_site_fract_x
_atom_site_fract_y
_atom_site_fract_z
_atom_site_occupancy
K1 0.0000 0.0000 0.0000 1
K2 0.5000 0.5000 0.0000 1
Sr1 0.0000 0.5000 0.5000 1
U1 0.5000 0.0000 0.5000 1
Te1 0.2623 0.0000 0.7149 1
Te2 0.2828 0.5000 0.2919 1
```

***

[6]
Computed, not measured: a geometry-optimized KSrV2Te structure at the GGA-PBE level of DFT.

DOS at the Fermi energy (states/eV/atom): 1.24
Crystal system: tetragonal
ΔE_f (raw) (meV per atom): 1269

Geometry as CIF:
```
data_KSrV2Te
_space_group_name_H-M_alt 'P 4/m m m'
_space_group_IT_number 123
_space_group_name_Hall '-P 4 2'
_cell_length_a 5.2876
_cell_length_b 5.2876
_cell_length_c 6.1903
_cell_angle_alpha 90.00
_cell_angle_beta 90.00
_cell_angle_gamma 90.00
loop_
_atom_site_label
_atom_site_fract_x
_atom_site_fract_y
_atom_site_fract_z
_atom_site_occupancy
K1 0.0000 0.0000 0.0000 1
Sr1 0.5000 0.5000 0.5000 1
V1 0.0000 0.5000 0.0000 1
Te1 0.0000 0.0000 0.5000 1
```